Density functional theory data (PBEsol) for a relaxed structure of CaTlPt.

Unit cell a=4.719 b=4.719 c=4.719 alpha=60.00 beta=60.00 gamma=60.00
Fractional coordinates of all 3 atoms:
Ca: 0.000 0.000 0.000
Tl: 0.500 0.500 0.500
Pt: 0.750 0.750 0.750

Properties
**E_form**: -0.527 eV per atom
**Space-group type**: F-43m, No. 216
**ρ**: 9.82 g/cm³
**Final energy**: -4.436 eV/atom
**Total magnetic moment**: 0.0 μB per formula unit